AcTmNiAg: relaxed, GGA-PBE. Values from VASP.

The structure in Quantum ESPRESSO input format:
```
&SYSTEM
  ibrav = 0, nat = 4, ntyp = 4
/
ATOMIC_SPECIES
Ni 58.69 Ni.upf
Ag 107.87 Ag.upf
Tm 168.93 Tm.upf
Ac 227.00 Ac.upf
CELL_PARAMETERS angstrom
-3.638 3.277 1.713
-4.433 -1.843 1.966
-0.946 0.398 5.085
ATOMIC_POSITIONS crystal
Ni 0.750 0.750 0.750
Ag 0.250 0.250 0.250
Tm 0.500 0.500 0.500
Ac 0.000 0.000 0.000
```

Properties
SG   F-43m (216)
Fermi-level density of states   2.7 states/eV per cell
E_form   -184 meV per atom

VFeSi: relaxed, GGA-PBE. Values from VASP.

The structure in Quantum ESPRESSO input format:
```
&SYSTEM
  ibrav = 0, nat = 6, ntyp = 3
/
ATOMIC_SPECIES
Si 28.09 Si.upf
Fe 55.84 Fe.upf
V 50.94 V.upf
CELL_PARAMETERS angstrom
-1.756 2.962 -2.303
-1.826 0.476 2.005
4.188 3.647 2.949
ATOMIC_POSITIONS crystal
Si 0.805 0.000 0.727
Si 0.080 0.500 0.060
Fe 0.304 0.500 0.729
Fe 0.764 0.500 0.426
V 0.593 0.000 0.085
V 0.249 0.000 0.412
```

Properties
SG   Pm (6)
Fermi-level density of states   3.5 states/eV per cell
E_form (uncorrected)   -324 meV per atom

ZrPb2W: relaxed, GGA-PBE. Values from VASP.

The structure in Quantum ESPRESSO input format:
```
&SYSTEM
  ibrav = 0, nat = 4, ntyp = 3
/
ATOMIC_SPECIES
W 183.84 W.upf
Pb 207.20 Pb.upf
Zr 91.22 Zr.upf
CELL_PARAMETERS angstrom
3.207 -0.037 0.000
-1.266 2.947 0.000
0.000 0.000 9.568
ATOMIC_POSITIONS crystal
W 0.500 0.500 0.250
Pb 0.000 0.000 0.012
Pb 0.000 0.000 0.488
Zr 0.500 0.500 0.750
```

Properties
SG   Cmmm (65)
Fermi-level density of states   3.5 states/eV per cell
E_form   643 meV per atom
Excess energy over the best structure of this formula in the dataset   0.295 eV/atom

> Which of these has the lowest Fermi-level density of states?

AcTmNiAg